# 1
Density functional theory data (PBE-GGA) for an optimized crystal structure of CdFeCo2.

Summary:
formation energy	303	meV per atom
magnetization	1.45	μB/atom
mass density	8756	kg/m3

a = 2.6812 Å, b = 2.6812 Å, c = 26.1469 Å
α = 90.00°, β = 90.00°, γ = 120.00°
Space group R3m (No. 160, hexagonal axes)
Asymmetric unit:
Cd 0.0000 0.0000 0.0000 [3 per cell]
Fe 0.0000 0.0000 0.2395 [3 per cell]
Co 0.0000 0.0000 0.4969 [3 per cell]
Co 0.0000 0.0000 0.7580 [3 per cell]



# 2
Density functional theory data (PBE-GGA) for an optimized crystal structure of CdFeCo2.

Summary:
formation energy	278	meV per atom
magnetization	1.45	μB/atom
mass density	8820	kg/m3

a = 9.3626 Å, b = 2.9674 Å, c = 4.2849 Å
α = 90.00°, β = 115.18°, γ = 90.00°
Space group Cm (No. 8)
Asymmetric unit:
Cd 0.0000 0.0000 0.0000 [2 per cell]
Fe 0.2290 0.0000 0.7213 [2 per cell]
Co 0.0015 0.5000 0.5014 [2 per cell]
Co 0.2681 0.5000 0.2706 [2 per cell]



# 3
Density functional theory data (PBE-GGA) for an optimized crystal structure of CdFe2Co.

Summary:
formation energy	266	meV per atom
magnetization	1.68	μB/atom
mass density	8599	kg/m3

a = 9.4877 Å, b = 2.9781 Å, c = 4.3064 Å
α = 90.00°, β = 116.05°, γ = 90.00°
Space group C2/m (No. 12)
Asymmetric unit:
Cd 0.0000 0.0000 0.0000 [2 per cell]
Fe 0.2298 0.0000 0.7281 [4 per cell]
Co 0.0000 0.5000 0.5000 [2 per cell]



# 4
Density functional theory data (PBE-GGA) for an optimized crystal structure of CdFeCo2.

Summary:
formation energy	359	meV per atom
magnetization	1.44	μB/atom
mass density	8848	kg/m3

a = 5.9888 Å, b = 5.9888 Å, c = 5.9888 Å
α = 90.00°, β = 90.00°, γ = 90.00°
Space group F-43m (No. 216)
Asymmetric unit:
Cd 0.0000 0.0000 0.0000 [4 per cell]
Fe 0.2500 0.2500 0.2500 [4 per cell]
Co 0.0000 0.0000 0.5000 [4 per cell]
Co 0.2500 0.2500 0.7500 [4 per cell]



# 5
Density functional theory data (PBE-GGA) for an optimized crystal structure of CdFeCo.

Summary:
formation energy	607	meV per atom
magnetization	1.40	μB/atom
mass density	7533	kg/m3
energy relative to the lowest polymorph listed for this composition	52.1	kJ per mole of atoms

a = 5.8511 Å, b = 5.8511 Å, c = 5.8511 Å
α = 90.00°, β = 90.00°, γ = 90.00°
Space group F-43m (No. 216)
Asymmetric unit:
Cd 0.0000 0.0000 0.0000 [4 per cell]
Fe 0.0000 0.0000 0.5000 [4 per cell]
Co 0.2500 0.2500 0.7500 [4 per cell]



# 6
Density functional theory data (PBE-GGA) for an optimized crystal structure of CdFe2Co.

Summary:
formation energy	169	meV per atom
magnetization	1.67	μB/atom
mass density	8544	kg/m3

a = 3.0168 Å, b = 3.0168 Å, c = 6.0443 Å
α = 90.00°, β = 90.00°, γ = 90.00°
Space group P4mm (No. 99)
Asymmetric unit:
Cd 0.0000 0.0000 0.0000 [1 per cell]
Fe 0.0000 0.0000 0.4917 [1 per cell]
Fe 0.5000 0.5000 0.6986 [1 per cell]
Co 0.5000 0.5000 0.2929 [1 per cell]



# 7
Density functional theory data (PBE-GGA) for an optimized crystal structure of CdFe2Co.

Summary:
formation energy	287	meV per atom
magnetization	1.72	μB/atom
mass density	8636	kg/m3

a = 3.7770 Å, b = 3.7770 Å, c = 7.6296 Å
α = 90.00°, β = 90.00°, γ = 90.00°
Space group I4/mmm (No. 139)
Asymmetric unit:
Cd 0.0000 0.0000 0.0000 [2 per cell]
Fe 0.0000 0.5000 0.2500 [4 per cell]
Co 0.0000 0.0000 0.5000 [2 per cell]



# 8
Density functional theory data (PBE-GGA) for an optimized crystal structure of Cd2FeCo.

Summary:
formation energy	387	meV per atom
magnetization	1.04	μB/atom
mass density	8875	kg/m3

a = 3.9404 Å, b = 3.9404 Å, c = 4.0924 Å
α = 90.00°, β = 90.00°, γ = 90.00°
Space group P4/mmm (No. 123)
Asymmetric unit:
Cd 0.0000 0.5000 0.0000 [2 per cell]
Fe 0.0000 0.0000 0.5000 [1 per cell]
Co 0.5000 0.5000 0.5000 [1 per cell]



# 9
Density functional theory data (PBE-GGA) for an optimized crystal structure of CdFeCo2.

Summary:
formation energy	307	meV per atom
magnetization	1.46	μB/atom
mass density	8882	kg/m3

a = 3.7349 Å, b = 3.7349 Å, c = 7.6695 Å
α = 90.00°, β = 90.00°, γ = 90.00°
Space group I-4m2 (No. 119)
Asymmetric unit:
Cd 0.0000 0.0000 0.0000 [2 per cell]
Fe 0.0000 0.5000 0.2500 [2 per cell]
Co 0.0000 0.0000 0.5000 [2 per cell]
Co 0.0000 0.5000 0.7500 [2 per cell]



# 10
Density functional theory data (PBE-GGA) for an optimized crystal structure of Cd3FeCo.

Summary:
formation energy	953	meV per atom
magnetization	0.85	μB/atom
mass density	6485	kg/m3
energy relative to the lowest polymorph listed for this composition	0.0	kJ per mole of atoms

a = 4.8734 Å, b = 4.8734 Å, c = 4.8734 Å
α = 90.00°, β = 90.00°, γ = 90.00°
Space group Pm-3m (No. 221)
Asymmetric unit:
Cd 0.0000 0.0000 0.5000 [3 per cell]
Fe 0.5000 0.5000 0.5000 [1 per cell]
Co 0.0000 0.0000 0.0000 [1 per cell]



# 11
Density functional theory data (PBE-GGA) for an optimized crystal structure of CdFeCo2.

Summary:
formation energy	133	meV per atom
magnetization	1.39	μB/atom
mass density	8886	kg/m3

a = 2.9160 Å, b = 2.9160 Å, c = 6.2880 Å
α = 90.00°, β = 90.00°, γ = 90.00°
Space group P4/mmm (No. 123)
Asymmetric unit:
Cd 0.0000 0.0000 0.0000 [1 per cell]
Fe 0.0000 0.0000 0.5000 [1 per cell]
Co 0.5000 0.5000 0.2923 [2 per cell]



# 12
Density functional theory data (PBE-GGA) for an optimized crystal structure of CdFeCo2.

Summary:
formation energy	211	meV per atom
magnetization	1.43	μB/atom
mass density	8832	kg/m3

a = 2.7157 Å, b = 2.7157 Å, c = 7.2948 Å
α = 90.00°, β = 90.00°, γ = 90.00°
Space group P4mm (No. 99)
Asymmetric unit:
Cd 0.0000 0.0000 0.0000 [1 per cell]
Fe 0.5000 0.5000 0.7051 [1 per cell]
Co 0.0000 0.0000 0.4821 [1 per cell]
Co 0.5000 0.5000 0.2834 [1 per cell]